No. 1
DFT (PBE) results for an optimized crystal structure of Si2TcRuI.

## Properties
Volume ... 118 Å³ per cell
Formation energy (no corrections) ... 1.0894 eV/atom
Total moment ... 4.00 Bohr magnetons per cell
Raw total energy ... -5.318 eV/atom

a = 4.5034 Å, b = 5.7941 Å, c = 4.5034 Å
α = 90.00°, β = 90.00°, γ = 90.00°
With the nearest neighbours (Å) after each atom.
Fractional coordinates of all 5 atoms:
Si 0.0000 0.0000 0.5000  2 Ru 2.25
Si 0.5000 0.0000 0.0000  2 Ru 2.25
Tc 0.5000 0.5000 0.5000  4 I 3.18
Ru 0.0000 0.0000 0.0000  4 Si 2.25
I 0.0000 0.5000 0.0000  2 Ru 2.90, 4 Tc 3.18

No. 2
DFT (PBE) results for an optimized crystal structure of LiHg2Se.

## Properties
Volume ... 100 Å³ per cell
Formation energy (no corrections) ... -0.3952 eV/atom
Total moment ... 0.00 Bohr magnetons per cell
Raw total energy ... -1.896 eV/atom

a = 7.5196 Å, b = 7.5196 Å, c = 3.5725 Å
α = 103.34°, β = 103.34°, γ = 30.64°
With the nearest neighbours (Å) after each atom.
Fractional coordinates of all 4 atoms:
Se 0.7500 0.7500 0.7500  4 Li 2.67, 2 Hg 2.77
Hg 0.9470 0.9470 0.9492  1 Se 2.77, 4 Hg 3.06
Hg 0.5530 0.5530 0.5508  1 Se 2.77, 4 Hg 3.06
Li 0.2500 0.2500 0.2500  4 Se 2.67

No. 3
DFT (PBE) results for an optimized crystal structure of Zn2InFe.

## Properties
Energy of formation from the pure elements ... 177 meV per atom
Volume ... 67 Å³ per cell
Total moment ... 2.43 Bohr magnetons per cell
Raw total energy ... -3.260 eV/atom

a = 2.8547 Å, b = 2.8547 Å, c = 8.2276 Å
α = 90.00°, β = 90.00°, γ = 90.06°
With the nearest neighbours (Å) after each atom.
Fractional coordinates of all 4 atoms:
Fe 0.5000 0.5000 0.2500  8 Zn 2.61, 4 Fe 2.85
Zn 0.0000 0.0000 0.4510  4 Fe 2.61, 4 Zn 2.85
Zn 0.0000 0.0000 0.0490  4 Fe 2.61, 4 Zn 2.85
In 0.5000 0.5000 0.7500  4 In 2.85, 8 Zn 3.18

No. 4
DFT (PBE) results for an optimized crystal structure of Ni3BiC.

## Properties
Energy of formation from the pure elements ... 2432 meV per atom
Volume ... 106 Å³ per cell
Energy above the lowest structure with this stoichiometry ... 1077.4 kJ/mol of formula units
Total moment ... 0.00 Bohr magnetons per cell
Raw total energy ... -3.657 eV/atom

a = 4.7369 Å, b = 4.7369 Å, c = 4.7369 Å
α = 90.00°, β = 90.00°, γ = 90.00°
With the nearest neighbours (Å) after each atom.
Fractional coordinates of all 5 atoms:
Ni 0.0000 0.5000 0.0000  2 Bi 2.37
Ni 0.0000 0.0000 0.5000  2 Bi 2.37
Ni 0.5000 0.0000 0.0000  2 Bi 2.37
Bi 0.0000 0.0000 0.0000  6 Ni 2.37
C 0.5000 0.5000 0.5000  12 Ni 3.35